Record 1
## InTcSe2 (PBE-GGA)

Data for an optimized crystal structure of InTcSe2.

* uncorrected formation energy: -0.12 eV per atom
* size of the total moment: 0.0 μB/cell
* DOS(E_F): 2.3 states/eV/f.u.

Cell: 3.844 3.844 8.036 Å, 86.66 86.66 49.72°
Element x y z (fractional)
In: 0.250 0.250 0.250
Se: 0.041 0.041 0.924
Se: 0.459 0.459 0.576
Tc: 0.750 0.750 0.750

Record 2
## InTcSe3 (PBE-GGA)

Data for an optimized crystal structure of InTcSe3.

* excess energy over the best structure of this formula in the dataset: 0 meV/atom
* uncorrected formation energy: 0.13 eV per atom
* size of the total moment: 0.0 μB/cell
* DOS(E_F): 5.7 states/eV/f.u.

Cell: 4.961 4.961 4.961 Å, 90.00 90.00 90.00°
Element x y z (fractional)
Tc: 0.000 0.000 0.000
Se: 0.000 0.500 0.000
Se: 0.000 0.000 0.500
Se: 0.500 0.000 0.000
In: 0.500 0.500 0.500

Record 3
## InTcSe2 (PBE-GGA)

Data for an optimized crystal structure of InTcSe2.

* uncorrected formation energy: -0.07 eV per atom
* size of the total moment: 0.0 μB/cell
* DOS(E_F): 2.6 states/eV/f.u.

Cell: 3.082 3.082 8.753 Å, 90.00 90.00 90.00°
Element x y z (fractional)
In: 0.500 0.500 0.750
Se: 0.000 0.000 0.074
Se: 0.000 0.000 0.426
Tc: 0.500 0.500 0.250

Record 4
## InTcSe2 (PBE-GGA)

Data for an optimized crystal structure of InTcSe2.

* uncorrected formation energy: 0.44 eV per atom
* size of the total moment: 2.3 μB/cell
* DOS(E_F): 3.2 states/eV/f.u.

Cell: 5.240 4.906 4.392 Å, 71.47 75.93 115.16°
Site moments in Bohr magnetons follow the coordinates.
Element x y z (fractional)
In: 0.500 0.500 0.000  -0.05
Se: 0.000 0.000 0.000  0.01
Se: 0.500 0.000 0.500  0.01
Tc: 0.000 0.500 0.500  2.06

Record 5
## InTcSe (PBE-GGA)

Data for an optimized crystal structure of InTcSe.

* excess energy over the best structure of this formula in the dataset: 325 meV/atom
* uncorrected formation energy: 0.30 eV per atom
* size of the total moment: 0.4 μB/cell
* DOS(E_F): 4.2 states/eV/f.u.

Cell: 4.368 4.368 3.452 Å, 90.00 90.00 120.00°
Site moments in Bohr magnetons follow the coordinates.
Element x y z (fractional)
In: 0.000 0.000 0.000  0.01
Se: 0.667 0.333 0.500  0.03
Tc: 0.333 0.667 0.500  0.27

Record 6
## InTcSe2 (PBE-GGA)

Data for an optimized crystal structure of InTcSe2.

* uncorrected formation energy: -0.15 eV per atom
* size of the total moment: 0.0 μB/cell
* DOS(E_F): 2.5 states/eV/f.u.

Cell: 9.928 9.928 9.928 Å, 18.86 18.86 18.86°
Element x y z (fractional)
Tc: 0.500 0.500 0.500
Se: 0.892 0.892 0.892
Se: 0.108 0.108 0.108
In: 0.000 0.000 0.000

Record 7
## InTc3Se (PBE-GGA)

Data for an optimized crystal structure of InTc3Se.

* excess energy over the best structure of this formula in the dataset: 0 meV/atom
* uncorrected formation energy: 0.86 eV per atom
* size of the total moment: 1.8 μB/cell
* DOS(E_F): 3.3 states/eV/f.u.

Cell: 4.568 4.568 4.568 Å, 90.00 90.00 90.00°
Site moments in Bohr magnetons follow the coordinates.
Element x y z (fractional)
Tc: 0.000 0.500 0.000  0.58
Tc: 0.000 0.000 0.500  0.54
Tc: 0.500 0.000 0.000  0.61
Se: 0.000 0.000 0.000  -0.03
In: 0.500 0.500 0.500  -0.04

Record 8
## In4TcSe (PBE-GGA)

Data for an optimized crystal structure of In4TcSe.

* uncorrected formation energy: 0.68 eV per atom
* size of the total moment: 2.7 μB/cell
* DOS(E_F): 3.7 states/eV/f.u.

Cell: 5.910 5.910 5.910 Å, 60.00 60.00 60.00°
Site moments in Bohr magnetons follow the coordinates.
Element x y z (fractional)
In: 0.877 0.374 0.374  -0.03
In: 0.374 0.374 0.877  -0.03
In: 0.374 0.877 0.374  -0.03
In: 0.374 0.374 0.374  -0.03
Tc: 0.000 0.000 0.000  2.65
Se: 0.750 0.750 0.750  0.06

Record 9
## InTcSe4 (PBE-GGA)

Data for an optimized crystal structure of InTcSe4.

* uncorrected formation energy: 0.85 eV per atom
* size of the total moment: 4.0 μB/cell
* DOS(E_F): 3.7 states/eV/f.u.

Cell: 5.783 5.783 5.783 Å, 60.00 60.00 60.00°
Site moments in Bohr magnetons follow the coordinates.
Element x y z (fractional)
In: 0.000 0.000 0.000  0.01
Tc: 0.750 0.750 0.750  3.31
Se: 0.873 0.376 0.376  0.05
Se: 0.376 0.376 0.873  0.05
Se: 0.376 0.873 0.376  0.05
Se: 0.376 0.376 0.376  0.05

Record 10
## InTcSe2 (PBE-GGA)

Data for an optimized crystal structure of InTcSe2.

* uncorrected formation energy: 0.67 eV per atom
* size of the total moment: 0.0 μB/cell
* DOS(E_F): 3.5 states/eV/f.u.

Cell: 4.766 4.766 4.766 Å, 60.00 60.00 60.00°
Element x y z (fractional)
In: 0.500 0.500 0.500
Se: 0.000 0.000 0.000
Se: 0.250 0.250 0.250
Tc: 0.750 0.750 0.750

Record 11
## InTcSe2 (PBE-GGA)

Data for an optimized crystal structure of InTcSe2.

* uncorrected formation energy: -0.09 eV per atom
* size of the total moment: 0.0 μB/cell
* DOS(E_F): 2.9 states/eV/f.u.

Cell: 9.805 9.805 9.805 Å, 19.17 19.17 19.17°
Element x y z (fractional)
In: 0.758 0.758 0.758
Se: 0.018 0.018 0.018
Se: 0.223 0.223 0.223
Tc: 0.501 0.501 0.501

Record 12
## InTcSe2 (PBE-GGA)

Data for an optimized crystal structure of InTcSe2.

* uncorrected formation energy: 0.50 eV per atom
* size of the total moment: 0.6 μB/cell
* DOS(E_F): 6.7 states/eV/f.u.

Cell: 8.514 8.514 8.514 Å, 24.87 24.87 24.87°
Site moments in Bohr magnetons follow the coordinates.
Element x y z (fractional)
Tc: 0.000 0.000 0.000  0.51
Se: 0.904 0.904 0.904  -0.01
Se: 0.096 0.096 0.096  -0.01
In: 0.500 0.500 0.500  0.00